# Er2ScSe4

Er2ScSe4 after structural relaxation (GGA-PBE, Alexandria).

Output
**Offset from the most stable computed form**: 0 meV per atom

Unit cell a=7.9662 b=7.8901 c=7.8901 alpha=60.70 beta=59.68 gamma=59.68
Positions (direct):
1 Sc 0.0000 0.5000 0.0000
2 Se 0.2565 0.7457 0.2457
3 Se 0.2479 0.2543 0.7543
4 Er 0.5000 0.0000 0.5000
5 Er 0.0000 0.0000 0.0000
6 Se 0.2585 0.7345 0.7486
7 Sc 0.5000 0.5000 0.0000
8 Er 0.0000 0.5000 0.5000
9 Se 0.7435 0.2543 0.7543
10 Se 0.7415 0.2655 0.2514
11 Se 0.7521 0.7457 0.2457
12 Se 0.2585 0.2486 0.2345
13 Se 0.7415 0.7514 0.7655
14 Er 0.0000 0.0000 0.5000

# Er3Sc5Se12

Er3Sc5Se12 after structural relaxation (GGA-PBE, Alexandria).

Output
**Raw total energy**: -475.2 eV/cell

Unit cell a=14.0596 b=14.0596 c=14.0596 alpha=109.47 beta=109.47 gamma=109.47
Positions (direct):
1 Se 0.0844 0.9088 0.1273
2 Se 0.5844 0.9571 0.6756
3 Se 0.3244 0.7814 0.4088
4 Se 0.6756 0.4571 0.5844
5 Se 0.5429 0.2186 0.1273
6 Sc 0.0000 0.0000 0.0000
7 Sc 0.0000 0.0000 0.5000
8 Er 0.6250 0.3750 0.7500
9 Se 0.2186 0.5429 0.6273
10 Se 0.4571 0.7814 0.8727
11 Sc 0.1250 0.3750 0.2500
12 Se 0.8727 0.2814 0.4571
13 Se 0.3244 0.5429 0.4156
14 Sc 0.5000 0.5000 0.5000
15 Se 0.8244 0.9088 0.2814
16 Sc 0.1250 0.7500 0.3750
17 Se 0.5844 0.6273 0.4088
18 Se 0.3727 0.4156 0.0912
19 Er 0.2500 0.6250 0.8750
20 Se 0.8244 0.9156 0.0429
21 Se 0.7186 0.5912 0.1756
22 Sc 0.8750 0.6250 0.7500
23 Se 0.7814 0.3244 0.9088
24 Sc 0.2500 0.3750 0.6250
25 Er 0.7500 0.8750 0.6250
26 Sc 0.6250 0.8750 0.2500
27 Se 0.1756 0.0844 0.9571
28 Er 0.3750 0.6250 0.2500
29 Se 0.5912 0.8727 0.4156
30 Se 0.0912 0.1756 0.2186
31 Sc 0.3750 0.2500 0.1250
32 Se 0.2186 0.6756 0.0912
33 Sc 0.5000 0.0000 0.0000
34 Er 0.8750 0.1250 0.2500
35 Se 0.9156 0.8244 0.5429
36 Sc 0.5000 0.0000 0.5000
37 Sc 0.0000 0.5000 0.5000
38 Se 0.8727 0.5912 0.9156
39 Se 0.4088 0.1273 0.5844
40 Se 0.3727 0.9571 0.7814
41 Se 0.0429 0.6273 0.7186
42 Sc 0.5000 0.5000 0.0000
43 Sc 0.8750 0.2500 0.6250
44 Sc 0.2500 0.8750 0.1250
45 Se 0.0844 0.1756 0.4571
46 Se 0.6273 0.0429 0.2186
47 Se 0.4156 0.0429 0.3244
48 Se 0.6273 0.5844 0.9088
49 Sc 0.6250 0.7500 0.8750
50 Se 0.9156 0.0912 0.8727
51 Se 0.0912 0.9156 0.3727
52 Er 0.2500 0.1250 0.3750
53 Sc 0.0000 0.5000 0.0000
54 Se 0.9571 0.3727 0.2814
55 Se 0.1756 0.0912 0.7186
56 Se 0.1273 0.4088 0.0844
57 Er 0.6250 0.2500 0.3750
58 Se 0.9088 0.0844 0.6273
59 Er 0.3750 0.7500 0.6250
60 Se 0.0429 0.4156 0.8244
61 Se 0.4156 0.3727 0.5912
62 Se 0.5912 0.7186 0.6756
63 Se 0.2814 0.8727 0.9571
64 Sc 0.7500 0.1250 0.8750
65 Sc 0.7500 0.6250 0.3750
66 Se 0.7186 0.1273 0.0429
67 Se 0.4088 0.2814 0.3244
68 Se 0.7814 0.4571 0.3727
69 Se 0.5429 0.3244 0.9156
70 Sc 0.3750 0.1250 0.7500
71 Se 0.1273 0.7186 0.5429
72 Se 0.6756 0.2186 0.5912
73 Se 0.4571 0.6756 0.0844
74 Er 0.8750 0.7500 0.1250
75 Er 0.7500 0.3750 0.1250
76 Se 0.2814 0.4088 0.8244
77 Er 0.1250 0.2500 0.8750
78 Er 0.1250 0.8750 0.7500
79 Se 0.9088 0.8244 0.7814
80 Se 0.9571 0.5844 0.1756

# SmErSc2Se4

SmErSc2Se4 after structural relaxation (GGA-PBE, Alexandria).

Output
**Raw total energy**: -49.2 eV/cell

Unit cell a=3.9521 b=6.9566 c=6.9215 alpha=71.02 beta=90.00 gamma=90.00
Positions (direct):
1 Sc 0.5000 0.0000 0.5000
2 Se 0.5000 0.7657 0.2505
3 Er 0.0000 0.5000 0.5000
4 Se 0.5000 0.2343 0.7495
5 Se 0.0000 0.7700 0.7375
6 Se 0.0000 0.2300 0.2625
7 Sc 0.0000 0.0000 0.0000
8 Sm 0.5000 0.5000 0.0000

# SmEr2ScSe4

SmEr2ScSe4 after structural relaxation (GGA-PBE, Alexandria).

Output
**Raw total energy**: -47.6 eV/cell

Unit cell a=3.9942 b=6.9762 c=7.0725 alpha=71.08 beta=90.00 gamma=90.00
Positions (direct):
1 Er 0.5000 0.0000 0.5000
2 Se 0.5000 0.2533 0.7387
3 Se 0.0000 0.2455 0.2619
4 Se 0.5000 0.7467 0.2613
5 Se 0.0000 0.7545 0.7381
6 Sm 0.5000 0.5000 0.0000
7 Sc 0.0000 0.5000 0.5000
8 Er 0.0000 0.0000 0.0000

# Sm3Er2ScSe6

Sm3Er2ScSe6 after structural relaxation (GGA-PBE, Alexandria).

Output
**Raw total energy**: -71.4 eV/cell

Unit cell a=4.0470 b=8.2421 c=9.1605 alpha=104.28 beta=102.76 gamma=90.00
Positions (direct):
1 Se 0.9986 0.7654 0.9972
2 Sm 0.5000 0.5000 0.0000
3 Sm 0.8315 0.1646 0.6629
4 Se 0.6599 0.0884 0.3199
5 Se 0.6698 0.5760 0.3395
6 Se 0.3302 0.4240 0.6605
7 Se 0.3401 0.9116 0.6801
8 Se 0.0014 0.2346 0.0028
9 Sm 0.1685 0.8354 0.3371
10 Er 0.8345 0.6687 0.6689
11 Er 0.1655 0.3313 0.3311
12 Sc 0.5000 0.0000 0.0000

# Sm2ErScSe6

Sm2ErScSe6 after structural relaxation (GGA-PBE, Alexandria).

Output
**Raw total energy**: -59.2 eV/cell

Unit cell a=7.1860 b=7.1859 c=7.6136 alpha=61.84 beta=61.84 gamma=60.00
Positions (direct):
1 Sm 0.0185 0.0185 0.9446
2 Se 0.1037 0.4349 0.7628
3 Se 0.5902 0.2063 0.2558
4 Sm 0.5201 0.5201 0.4397
5 Sc 0.3218 0.3217 0.0346
6 Se 0.6986 0.1037 0.7628
7 Se 0.2062 0.9477 0.2558
8 Se 0.4348 0.6986 0.7628
9 Se 0.9478 0.5902 0.2558
10 Er 0.8197 0.8198 0.5406

- Which formula does entry 3 have?
  SmErSc2Se4